# Ba2AcYO4

Ba2AcYO4 after structural relaxation (PBE-GGA, Alexandria).

abc: 6.480 3.709 6.715
angles: 90.00 108.36 90.00
Space group P2/m (No. 10)
Unique sites:
Ba: 0.000 0.000 0.000 x1
Ba: 0.500 0.500 0.000 x1
Ac: 0.000 0.500 0.500 x1
Y: 0.500 0.000 0.500 x1
O: 0.258 0.000 0.696 x2
O: 0.291 0.500 0.311 x2

## Properties
Energy = -6.929 eV/atom
Raw formation energy = -2.65 eV per atom
Magnetization = 0.00 μB/cell



# Ba2AcY3O8

Ba2AcY3O8 after structural relaxation (PBE-GGA, Alexandria).

abc: 7.0958 7.0958 18.4338
angles: 90.00 90.00 120.00
Space group R3m (No. 160, hexagonal axes)
Unique sites:
Ba: 0.0000 0.0000 0.0000 x3
Ba: 0.0000 0.0000 0.3776 x3
Ac: 0.0000 0.0000 0.7593 x3
Y: 0.0053 0.5027 0.8790 x9
O: 0.0000 0.0000 0.1470 x3
O: 0.0000 0.0000 0.6153 x3
O: 0.0199 0.5100 0.1437 x9
O: 0.1855 0.3709 0.9423 x9

## Properties
Energy = -7.933 eV/atom
Raw formation energy = -3.15 eV per atom
Magnetization = 0.00 μB/cell



# BaAc4YO8

BaAc4YO8 after structural relaxation (PBE-GGA, Alexandria).

abc: 7.5063 7.5063 18.0444
angles: 90.00 90.00 120.00
Space group R3m (No. 160, hexagonal axes)
Unique sites:
Ba: 0.0000 0.0000 0.0000 x3
Ac: 0.0000 0.0000 0.6159 x3
Ac: 0.1695 0.3391 0.8289 x9
Y: 0.0000 0.0000 0.3763 x3
O: 0.0000 0.0000 0.2514 x3
O: 0.0000 0.0000 0.7552 x3
O: 0.1747 0.3495 0.5709 x9
O: 0.1770 0.3540 0.0881 x9

## Properties
Energy = -7.615 eV/atom
Raw formation energy = -3.01 eV per atom
Magnetization = 2.72 μB/cell



# BaAcYO4

BaAcYO4 after structural relaxation (PBE-GGA, Alexandria).

abc: 6.187 13.247 6.260
angles: 90.00 90.00 90.00
Space group Cmcm (No. 63)
Unique sites:
Ba: 0.000 0.103 0.250 x4
Ac: 0.000 0.388 0.250 x4
Y: 0.000 0.251 0.750 x4
O: 0.000 0.083 0.750 x4
O: 0.000 0.436 0.750 x4
O: 0.250 0.250 0.000 x8

## Properties
Energy = -7.673 eV/atom
Raw formation energy = -3.06 eV per atom
Magnetization = 0.00 μB/cell



Repeat the first record exactly.
# Ba2AcYO4

Ba2AcYO4 after structural relaxation (PBE-GGA, Alexandria).

abc: 6.480 3.709 6.715
angles: 90.00 108.36 90.00
Space group P2/m (No. 10)
Unique sites:
Ba: 0.000 0.000 0.000 x1
Ba: 0.500 0.500 0.000 x1
Ac: 0.000 0.500 0.500 x1
Y: 0.500 0.000 0.500 x1
O: 0.258 0.000 0.696 x2
O: 0.291 0.500 0.311 x2

## Properties
Energy = -6.929 eV/atom
Raw formation energy = -2.65 eV per atom
Magnetization = 0.00 μB/cell



Question: Which of these has the lowest raw formation energy?
Answer: Ba2AcY3O8